Entry 1:
The following is a meta-GGA SCAN calculation of a crystal of RbLi2I3O9 relaxed with PBEsol, from the Alexandria database.

Computed properties:
Raw total energy: -13.856 eV per atom
Energy relative to the elements, uncorrected: -1.07 eV/atom
Total moment: 0.0 μB/f.u.

Cell: 8.168 10.972 11.122 Å, 90.00 110.21 90.00°
Element x y z (fractional)
Rb 0.213 0.044 0.161
Rb 0.213 0.456 0.661
Rb 0.787 0.544 0.339
Rb 0.787 0.956 0.839
Li 0.127 0.216 0.862
Li 0.127 0.284 0.362
Li 0.482 0.709 0.653
Li 0.482 0.791 0.153
Li 0.518 0.209 0.847
Li 0.518 0.291 0.347
Li 0.873 0.716 0.638
Li 0.873 0.784 0.138
I 0.090 0.678 0.950
I 0.090 0.822 0.450
I 0.268 0.562 0.313
I 0.268 0.938 0.813
I 0.413 0.128 0.562
I 0.413 0.372 0.062
I 0.587 0.628 0.938
I 0.587 0.872 0.438
I 0.732 0.062 0.187
I 0.732 0.438 0.687
I 0.910 0.178 0.550
I 0.910 0.322 0.050
O 0.040 0.734 0.299
O 0.040 0.766 0.799
O 0.108 0.225 0.521
O 0.108 0.275 0.021
O 0.139 0.546 0.142
O 0.139 0.954 0.642
O 0.144 0.041 0.877
O 0.144 0.459 0.377
O 0.239 0.710 0.551
O 0.239 0.790 0.051
O 0.359 0.204 0.407
O 0.359 0.296 0.907
O 0.364 0.576 0.920
O 0.364 0.924 0.420
O 0.446 0.040 0.812
O 0.446 0.460 0.312
O 0.480 0.240 0.169
O 0.480 0.260 0.669
O 0.520 0.740 0.331
O 0.520 0.760 0.831
O 0.554 0.540 0.688
O 0.554 0.960 0.188
O 0.636 0.076 0.580
O 0.636 0.424 0.080
O 0.641 0.704 0.093
O 0.641 0.796 0.593
O 0.761 0.210 0.949
O 0.761 0.290 0.449
O 0.856 0.541 0.623
O 0.856 0.959 0.123
O 0.861 0.046 0.358
O 0.861 0.454 0.858
O 0.892 0.725 0.979
O 0.892 0.775 0.479
O 0.960 0.234 0.201
O 0.960 0.266 0.701

***

Entry 2:
The following is a meta-GGA SCAN calculation of a crystal of ScSnPd relaxed with PBEsol, from the Alexandria database.

Computed properties:
Raw total energy: -28.613 eV per atom
Calculated formation energy: -0.97 eV per atom
Total moment: 0.0 μB/f.u.

Cell: 7.448 7.448 7.069 Å, 90.00 90.00 120.00°
Element x y z (fractional)
Sc 0.016 0.615 0.250
Sc 0.385 0.401 0.250
Sc 0.401 0.385 0.750
Sc 0.599 0.984 0.250
Sc 0.615 0.016 0.750
Sc 0.984 0.599 0.750
Sn 0.000 0.276 0.000
Sn 0.000 0.276 0.500
Sn 0.276 0.000 0.000
Sn 0.276 0.000 0.500
Sn 0.724 0.724 0.000
Sn 0.724 0.724 0.500
Pd 0.000 0.000 0.250
Pd 0.000 0.000 0.750
Pd 0.333 0.667 0.534
Pd 0.333 0.667 0.966
Pd 0.667 0.333 0.034
Pd 0.667 0.333 0.466

***

Entry 3:
The following is a meta-GGA SCAN calculation of a crystal of AlCd2P relaxed with PBEsol, from the Alexandria database.

Computed properties:
Polymorph energy (0 for the lowest one): 0 meV per atom
Raw total energy: -19.563 eV per atom
Calculated formation energy: 0.18 eV per atom
Total moment: 0.0 μB/f.u.

Cell: 5.353 5.496 5.725 Å, 90.00 112.32 90.00°
Element x y z (fractional)
Al 0.000 0.000 0.000
Al 0.500 0.500 0.000
Cd 0.000 0.000 0.500
Cd 0.000 0.500 0.500
Cd 0.500 0.000 0.500
Cd 0.500 0.500 0.500
P 0.000 0.500 0.000
P 0.500 0.000 0.000

***

Entry 4:
The following is a meta-GGA SCAN calculation of a crystal of Rb3CuN relaxed with PBEsol, from the Alexandria database.

Computed properties:
Raw total energy: -16.267 eV per atom
Energy relative to the elements, uncorrected: 1.07 eV/atom
Total moment: 1.0 μB/f.u.

Cell: 6.151 6.151 6.151 Å, 90.00 90.00 90.00°
Element x y z (fractional)
Rb 0.000 0.000 0.500
Rb 0.000 0.500 0.000
Rb 0.500 0.000 0.000
Cu 0.000 0.000 0.000
N 0.500 0.500 0.500

***

Repeat the fourth record exactly.
The following is a meta-GGA SCAN calculation of a crystal of Rb3CuN relaxed with PBEsol, from the Alexandria database.

Computed properties:
Raw total energy: -16.267 eV per atom
Energy relative to the elements, uncorrected: 1.07 eV/atom
Total moment: 1.0 μB/f.u.

Cell: 6.151 6.151 6.151 Å, 90.00 90.00 90.00°
Element x y z (fractional)
Rb 0.000 0.000 0.500
Rb 0.000 0.500 0.000
Rb 0.500 0.000 0.000
Cu 0.000 0.000 0.000
N 0.500 0.500 0.500